# K2Hg2MoO6 | Alexandria via LeMat-Bulk | PBE+U | relaxed
# VASP energy	-4.6808	eV per atom
# Fermi-level density of states	0.048	states/eV/atom
data_K2Hg2MoO6
_cell_length_a 6.5330
_cell_length_b 9.7763
_cell_length_c 6.7761
_cell_angle_alpha 90.00
_cell_angle_beta 115.52
_cell_angle_gamma 90.00
_space_group_name_H-M_alt 'C 1 2/m 1'
_space_group_IT_number 12
loop_
_space_group_symop_operation_xyz
'x,y,z'
'-x,-y,-z'
'-x,y,-z'
'x,-y,z'
'x+1/2,y+1/2,z'
'-x+1/2,-y+1/2,-z'
'-x+1/2,y+1/2,-z'
'x+1/2,-y+1/2,z'
loop_
_atom_site_label
_atom_site_fract_x
_atom_site_fract_y
_atom_site_fract_z
_atom_site_occupancy
K1 0.0000 0.1827 0.0000 1
Hg1 0.0000 0.3346 0.5000 1
Mo1 0.0000 0.0000 0.5000 1
O1 0.1725 0.1397 0.7068 1
O2 0.2257 0.0000 0.3600 1